A crystal of SrCa2La relaxed with PBEsol, computed with SCAN.

Values from the calculation:
Space-group type   R3m (160)
N(E_F)   5.0 states/eV per cell
Total DFT energy (no corrections)   -21.095 eV/atom
Formation enthalpy at 0 K   0.326 eV per formula unit
ΔE to the lowest computed polymorph   0 meV per atom

a = 12.9809 Å, b = 12.9809 Å, c = 12.9809 Å
α = 17.00°, β = 17.00°, γ = 17.00°
Fractional positions:
Sr: 0.0000 0.0000 0.0000
Ca: 0.5025 0.5025 0.5025
Ca: 0.7536 0.7536 0.7536
La: 0.2488 0.2488 0.2488